The following is a DFT calculation (PBE) of a geometry-optimized HfZr7Bi3 structure.

Cell lengths 5.4656, 9.4197, 10.7892 Å; angles 90.00, 90.00, 90.00 degrees
Space group Immm (No. 71)
Unique sites:
Hf 0.0000 0.0000 0.0000
Zr 0.0000 0.1769 0.2680
Zr 0.0000 0.3204 0.0000
Zr 0.0000 0.5000 0.5000
Bi 0.0000 0.0000 0.5000
Bi 0.0000 0.5000 0.2323

Output
The calculation puts the energy of formation at 118 kJ/mol of formula units. Its theoretical density is 8.6 Mg/m³. As for the volume: 25.25 Å³ per atom. The density of states at the Fermi level is 25.21 states/eV per cell. As for the energy: -7.29 eV per atom.

=====

The following is a DFT calculation (PBE) of a geometry-optimized Mg2SiTc structure.

Cell lengths 3.3579, 4.0817, 9.1204 Å; angles 90.00, 90.00, 90.00 degrees
Space group Immm (No. 71)
Unique sites:
Mg 0.0000 0.0000 0.2479
Si 0.0000 0.5000 0.0000
Tc 0.0000 0.5000 0.5000

Output
The value obtained for the uncorrected formation energy is 0.01 eV per atom. Its theoretical density is 4.6 Mg/m³. As for the volume: 15.63 Å³ per atom. The density of states at the Fermi level is 3.14 states/eV per cell. As for the energy: -4.73 eV per atom.

=====

The following is a DFT calculation (PBE) of a geometry-optimized CdIN2 structure.

Cell lengths 3.5966, 3.5966, 19.0210 Å; angles 90.00, 90.00, 120.00 degrees
Space group R-3m (No. 166, hexagonal axes)
Unique sites:
Cd 0.0000 0.0000 0.0000
I 0.0000 0.0000 0.5000
N 0.0000 0.0000 0.3912

Output
The value obtained for the uncorrected formation energy is 1.30 eV per atom. Its theoretical density is 6.2 Mg/m³. As for the energy above the most stable polymorph in this dataset: 0.00 eV/f.u. As for the volume: 17.76 Å³ per atom. The density of states at the Fermi level is 7.56 states/eV per cell. As for the energy: -3.48 eV per atom.

=====

The following is a DFT calculation (PBE) of a geometry-optimized RbLiBi structure.

Cell lengths 6.8995, 13.6151, 9.0604 Å; angles 90.00, 90.00, 90.00 degrees
Space group Cmce (No. 64)
Unique sites:
Rb 0.0000 0.1745 0.0834
Li 0.0000 0.0769 0.4418
Bi 0.2500 0.0574 0.7500

Output
The calculation puts the energy of formation at -59 kJ/mol of formula units. Its theoretical density is 4.7 Mg/m³. As for the energy above the most stable polymorph in this dataset: 0.45 eV/f.u. As for the volume: 35.46 Å³ per atom. The density of states at the Fermi level is 6.28 states/eV per cell. As for the energy: -2.46 eV per atom.